Entry 1:
Entry from the Alexandria database: an optimized crystal structure of Ce2GaSe (GGA-PBE).

The structure in POSCAR format:
```
Ce2GaSe
1.0
4.167 0.000 0.000
2.083 3.608 0.000
2.083 1.203 7.237
Ga Ce Se
1 2 1
Cartesian
0.000 0.000 0.000
6.250 3.608 5.376
2.083 1.203 1.861
4.167 2.406 3.619
```

Computed properties:
Raw formation energy (eV/atom): -1.023
Energy above the most stable polymorph in this dataset (eV per formula unit): 0.39
Theoretical density (g cm⁻³): 6.546
Symmetry: R-3m

=====

Entry 2:
Entry from the Alexandria database: an optimized crystal structure of Ce2GaSe (GGA-PBE).

The structure in POSCAR format:
```
Ce2GaSe
1.0
3.985 0.000 0.000
1.993 3.451 0.000
1.993 1.150 7.980
Ce Se Ga
2 1 1
Cartesian
1.993 1.150 1.846
1.993 1.150 6.129
5.978 3.451 7.960
3.985 2.301 4.013
```

Computed properties:
Raw formation energy (eV/atom): -0.909
Energy above the most stable polymorph in this dataset (eV per formula unit): 0.85
Theoretical density (g cm⁻³): 6.489
Symmetry: R3m